Record 1
{
  "formula": "CsLaTa2",
  "functional": "GGA-PBE",
  "state": "optimized geometry",
  "e_above_lowest_polymorph_mev_per_atom": 0,
  "ef_ev_per_atom": 1.59,
  "crystal_system": "tetragonal",
  "lattice": [[-0.723, -1.584, 3.895], [-2.547, -2.979, -1.684], [7.467, -9.385, -0.094]],
  "species": ["Cs", "Cs", "La", "La", "Ta", "Ta", "Ta", "Ta"],
  "fractional_positions": [[0.500, 0.500, 0.000], [0.250, 0.750, 0.500], [0.000, 0.000, 0.000], [0.750, 0.250, 0.500], [0.110, 0.125, 0.250], [0.640, 0.625, 0.250], [0.375, 0.890, 0.750], [0.875, 0.360, 0.750]]
}

***

Record 2
{
  "formula": "FeSe3S",
  "functional": "GGA-PBE",
  "state": "optimized geometry",
  "e_above_lowest_polymorph_mev_per_atom": 0,
  "crystal_system": "cubic",
  "lattice": [[-4.428, -0.557, -1.230], [1.244, -3.326, -2.970], [-0.526, -3.171, 3.331]],
  "species": ["S", "Fe", "Se", "Se", "Se"],
  "fractional_positions": [[0.500, 0.500, 0.500], [0.000, 0.000, 0.000], [0.000, 0.500, 0.000], [0.000, 0.000, 0.500], [0.500, 0.000, 0.000]]
}

***

Record 3
{
  "formula": "Tc2HgPt",
  "functional": "GGA-PBE",
  "state": "optimized geometry",
  "ef_ev_per_atom": 0.21,
  "crystal_system": "monoclinic",
  "lattice": [[3.879, 0.000, 0.000], [0.000, 2.851, 0.002], [0.000, 2.724, 5.948]],
  "species": ["Hg", "Pt", "Tc", "Tc"],
  "fractional_positions": [[0.000, 0.494, 0.500], [0.500, 0.743, 0.766], [0.000, 0.017, 0.021], [0.500, 0.246, 0.213]]
}

***

Record 4
{
  "formula": "Ba4H7Pd",
  "functional": "GGA-PBE",
  "state": "optimized geometry",
  "crystal_system": "monoclinic",
  "lattice": [[-2.156, 2.474, 2.928], [-7.100, -2.911, 0.534], [0.148, -3.837, 6.653]],
  "species": ["Ba", "Ba", "Ba", "Ba", "H", "H", "H", "H", "H", "H", "H", "Pd"],
  "fractional_positions": [[0.583, 0.204, 0.631], [0.417, 0.796, 0.369], [0.722, 0.688, 0.869], [0.278, 0.312, 0.131], [0.798, 0.863, 0.541], [0.202, 0.137, 0.459], [0.070, 0.765, 0.096], [0.930, 0.235, 0.904], [0.358, 0.539, 0.745], [0.500, 0.000, 0.000], [0.642, 0.461, 0.255], [0.000, 0.000, 0.000]]
}

***

Record 5
{
  "formula": "DyTh2V",
  "functional": "GGA-PBE",
  "state": "optimized geometry",
  "ef_ev_per_atom": 0.62,
  "crystal_system": "trigonal",
  "lattice": [[3.395, 0.000, 0.000], [1.697, 2.940, 0.000], [1.697, 0.980, 11.447]],
  "species": ["V", "Th", "Th", "Dy"],
  "fractional_positions": [[0.000, 0.000, 0.000], [0.079, 0.079, 0.764], [0.921, 0.921, 0.236], [0.500, 0.500, 0.500]]
}

***

Record 6
{
  "formula": "BaYBr2",
  "functional": "GGA-PBE",
  "state": "optimized geometry",
  "e_above_lowest_polymorph_mev_per_atom": 106,
  "crystal_system": "monoclinic",
  "lattice": [[-0.972, 5.349, 0.872], [-4.116, 3.246, 1.683], [1.399, 0.630, 7.059]],
  "species": ["Y", "Ba", "Br", "Br"],
  "fractional_positions": [[0.490, 0.490, 0.660], [0.231, 0.231, 0.240], [0.000, 0.000, 0.978], [0.779, 0.779, 0.622]]
}

***

Record 7
{
  "formula": "Pb2WSe",
  "functional": "GGA-PBE",
  "state": "optimized geometry",
  "crystal_system": "tetragonal",
  "lattice": [[-1.014, 5.376, -0.118], [-5.184, -0.945, 1.476], [0.814, 0.219, 3.001]],
  "species": ["Pb", "Pb", "Se", "W"],
  "fractional_positions": [[0.000, 0.000, 0.000], [0.500, 0.500, 0.000], [0.500, 0.000, 0.500], [0.000, 0.500, 0.500]]
}

***

Record 8
{
  "formula": "Nd2Ga4SnPt3",
  "functional": "GGA-PBE",
  "state": "optimized geometry",
  "ef_ev_per_atom": -0.85,
  "crystal_system": "tetragonal",
  "lattice": [[-2.199, -0.280, -3.735], [2.914, -2.848, -1.503], [-5.822, -8.085, 4.034]],
  "species": ["Nd", "Nd", "Ga", "Ga", "Ga", "Ga", "Sn", "Pt", "Pt", "Pt"],
  "fractional_positions": [[0.500, 0.000, 0.237], [0.000, 0.500, 0.763], [0.500, 0.500, 0.000], [0.000, 0.000, 0.000], [0.500, 0.000, 0.651], [0.000, 0.500, 0.349], [0.500, 0.500, 0.500], [0.000, 0.000, 0.500], [0.500, 0.000, 0.877], [0.000, 0.500, 0.123]]
}

***

Record 9
{
  "formula": "ErTm3Au2",
  "functional": "GGA-PBE",
  "state": "optimized geometry",
  "e_above_lowest_polymorph_mev_per_atom": 0,
  "ef_ev_per_atom": -0.66,
  "crystal_system": "orthorhombic",
  "lattice": [[-1.175, 4.734, 0.401], [-6.831, -1.675, -0.247], [-0.128, -0.777, 8.795]],
  "species": ["Er", "Er", "Tm", "Tm", "Tm", "Tm", "Tm", "Tm", "Au", "Au", "Au", "Au"],
  "fractional_positions": [[0.500, 0.514, 0.573], [0.500, 0.014, 0.427], [0.000, 0.486, 0.927], [0.000, 0.986, 0.073], [0.500, 0.649, 0.170], [0.500, 0.149, 0.830], [0.000, 0.351, 0.329], [0.000, 0.851, 0.671], [0.500, 0.742, 0.850], [0.500, 0.242, 0.150], [0.000, 0.258, 0.651], [0.000, 0.758, 0.349]]
}

***

Record 10
{
  "formula": "ZnSbAu2",
  "functional": "GGA-PBE",
  "state": "optimized geometry",
  "e_above_lowest_polymorph_mev_per_atom": 13,
  "crystal_system": "trigonal",
  "lattice": [[-1.840, 0.425, 5.549], [-0.855, -3.576, 4.565], [2.219, -0.775, 5.369]],
  "species": ["Au", "Au", "Sb", "Zn"],
  "fractional_positions": [[0.018, 0.018, 0.018], [0.482, 0.482, 0.482], [0.250, 0.250, 0.250], [0.750, 0.750, 0.750]]
}

***

Record 11
{
  "formula": "Tl2PbSBr",
  "functional": "GGA-PBE",
  "state": "optimized geometry",
  "crystal_system": "tetragonal",
  "lattice": [[-1.787, 5.798, -0.127], [-1.807, -0.659, -4.697], [-5.382, -1.608, 2.297]],
  "species": ["Pb", "Tl", "Tl", "S", "Br"],
  "fractional_positions": [[0.500, 0.500, 0.500], [0.000, 0.000, 0.500], [0.500, 0.000, 0.000], [0.000, 0.500, 0.000], [0.000, 0.000, 0.000]]
}

***

Record 12
{
  "formula": "Ta2Ru",
  "functional": "GGA-PBE",
  "state": "optimized geometry",
  "ef_ev_per_atom": -0.14,
  "crystal_system": "trigonal",
  "lattice": [[-3.770, 2.299, 0.782], [0.133, -3.032, -3.301], [-0.862, -2.039, 1.838]],
  "species": ["Ru", "Ta", "Ta"],
  "fractional_positions": [[0.000, 0.000, 0.000], [0.333, 0.667, 0.318], [0.667, 0.333, 0.682]]
}

***

Number 1: Fermi-level density of states 14.7 states/eV per cell, total energy -5.778 eV/atom, mass density 9.96 g/cm3. Number 2: Fermi-level density of states 8.5 states/eV per cell, total energy -3.986 eV/atom, mass density 5.44 g/cm3. Number 3: Fermi-level density of states 4.0 states/eV per cell, total energy -6.557 eV/atom, mass density 14.94 g/cm3. Number 4: Fermi-level density of states 4.4 states/eV per cell, total energy -3.460 eV/atom, mass density 4.68 g/cm3. Number 5: Fermi-level density of states 5.9 states/eV per cell, total energy -6.519 eV/atom, mass density 9.85 g/cm3. Number 6: Fermi-level density of states 2.5 states/eV per cell, total energy -4.042 eV/atom, mass density 4.56 g/cm3. Number 7: Fermi-level density of states 2.2 states/eV per cell, total energy -5.147 eV/atom, mass density 12.05 g/cm3. Number 8: Fermi-level density of states 6.8 states/eV per cell, total energy -5.226 eV/atom, mass density 10.41 g/cm3. Number 9: Fermi-level density of states 11.2 states/eV per cell, total energy -4.753 eV/atom, mass density 11.66 g/cm3. Number 10: Fermi-level density of states 1.7 states/eV per cell, total energy -3.041 eV/atom, mass density 11.66 g/cm3. Number 11: Fermi-level density of states 2.8 states/eV per cell, total energy -2.572 eV/atom, mass density 6.47 g/cm3. Number 12: Fermi-level density of states 2.0 states/eV per cell, total energy -11.130 eV/atom, mass density 15.35 g/cm3.